# Cu3IrF PBE relaxed
# * ΔE to the lowest computed polymorph: 0.000 eV per atom
# * formation energy from raw total energies: 0.37 eV per atom
# * E_tot: -21.15 eV for the cell shown
data_Cu3IrF
_chemical_formula_sum 'Cu3 Ir1 F1'
_cell_length_a 4.020
_cell_length_b 4.020
_cell_length_c 4.020
_cell_angle_alpha 90.00
_cell_angle_beta 90.00
_cell_angle_gamma 90.00
_space_group_name_H-M_alt 'P m -3 m'
_space_group_IT_number 221
_space_group_name_Hall '-P 4 2 3'
loop_
_atom_site_label
_atom_site_type_symbol
_atom_site_fract_x
_atom_site_fract_y
_atom_site_fract_z
Cu1 Cu 0.000 0.000 0.500
Ir1 Ir 0.500 0.500 0.500
F1 F 0.000 0.000 0.000